VASP calculation (PBE-GGA) on crystalline KNa2Al2 at its relaxed geometry.

Cell: 9.354 9.354 3.295 Å, 90.00 90.00 90.00°
Fractional coordinates of all 10 atoms:
Na  0.186  0.686  0.500
Na  0.686  0.814  0.500
Na  0.814  0.314  0.500
Na  0.314  0.186  0.500
K  0.000  0.000  0.000
K  0.500  0.500  0.000
Al  0.399  0.899  0.000
Al  0.899  0.601  0.000
Al  0.601  0.101  0.000
Al  0.101  0.399  0.000

Calculated values
- Total DFT energy (no corrections): -2.0250 eV/atom
- Symmetry: P4/mbm (127)
- Formation energy: 0.219 eV per atom
- Polymorph energy (0 for the lowest one): 0.000 eV per atom

---

VASP calculation (PBE-GGA) on crystalline KNaAl at its relaxed geometry.

Cell: 4.634 7.962 12.946 Å, 90.00 90.00 90.00°
Fractional coordinates of all 12 atoms:
K  0.750  0.156  0.731
K  0.250  0.656  0.769
K  0.250  0.844  0.269
K  0.750  0.344  0.231
Al  0.750  0.056  0.468
Al  0.250  0.556  0.032
Al  0.250  0.944  0.532
Al  0.750  0.444  0.968
Na  0.750  0.668  0.514
Na  0.250  0.168  0.986
Na  0.250  0.332  0.486
Na  0.750  0.832  0.014

Calculated values
- Total DFT energy (no corrections): -1.9109 eV/atom
- Symmetry: Pnma (62)
- Formation energy: 0.142 eV per atom

---

VASP calculation (PBE-GGA) on crystalline KNa7Al8Si8O32 at its relaxed geometry.

Cell: 8.485 10.105 10.197 Å, 60.11 89.99 90.00°
Fractional coordinates of all 56 atoms:
K  0.259  0.001  0.012
Na  0.757  0.011  0.922
Na  0.254  0.011  0.440
Na  0.254  0.572  0.985
Na  0.250  0.445  0.549
Na  0.752  0.008  0.551
Na  0.753  0.436  0.006
Na  0.754  0.561  0.451
Al  0.072  0.092  0.675
Al  0.062  0.245  0.102
Al  0.061  0.667  0.235
Al  0.563  0.908  0.330
Al  0.562  0.759  0.898
Al  0.568  0.329  0.767
Al  0.561  0.325  0.350
Al  0.060  0.658  0.658
Si  0.947  0.324  0.351
Si  0.447  0.659  0.658
Si  0.434  0.091  0.675
Si  0.442  0.246  0.103
Si  0.442  0.666  0.235
Si  0.941  0.907  0.332
Si  0.942  0.760  0.897
Si  0.936  0.328  0.768
O  0.045  0.175  0.479
O  0.977  0.347  0.182
O  0.000  0.478  0.354
O  0.490  0.827  0.516
O  0.482  0.657  0.817
O  0.550  0.527  0.647
O  0.261  0.009  0.716
O  0.259  0.304  0.054
O  0.259  0.679  0.281
O  0.760  0.964  0.333
O  0.760  0.704  0.951
O  0.760  0.275  0.744
O  0.568  0.961  0.777
O  0.547  0.275  0.957
O  0.557  0.785  0.255
O  0.058  0.047  0.221
O  0.052  0.732  0.041
O  0.065  0.226  0.738
O  0.468  0.160  0.494
O  0.524  0.345  0.172
O  0.505  0.493  0.349
O  0.012  0.837  0.504
O  0.020  0.662  0.826
O  0.960  0.510  0.648
O  0.932  0.945  0.775
O  0.947  0.295  0.941
O  0.937  0.778  0.279
O  0.436  0.063  0.225
O  0.443  0.711  0.057
O  0.435  0.227  0.719
O  0.761  0.290  0.395
O  0.261  0.619  0.653

Calculated values
- Total DFT energy (no corrections): -7.0790 eV/atom
- Symmetry: P1 (1)

---

VASP calculation (PBE-GGA) on crystalline KNaAlOs2 at its relaxed geometry.

Cell: 4.868 4.868 5.034 Å, 90.00 90.00 90.00°
Site moments in Bohr magnetons follow the coordinates.
Fractional coordinates of all 5 atoms:
Na  0.000  0.000  0.000  0.01
K  0.500  0.500  0.500  -0.01
Os  0.000  0.500  0.000  1.67
Os  0.500  0.000  0.000  1.67
Al  0.000  0.000  0.500  -0.03

Calculated values
- Total DFT energy (no corrections): -3.3393 eV/atom
- Symmetry: P4/mmm (123)
- Formation energy: 2.384 eV per atom

---

VASP calculation (PBE-GGA) on crystalline K2NaAlP2 at its relaxed geometry.

Cell: 8.654 8.654 8.654 Å, 137.21 134.76 64.03°
Fractional coordinates of all 12 atoms:
K  0.567  0.324  0.243
K  0.433  0.676  0.757
K  0.920  0.176  0.743
K  0.080  0.824  0.257
Na  0.500  0.250  0.750
Na  0.500  0.750  0.250
Al  0.000  0.750  0.750
Al  0.000  0.250  0.250
P  0.894  0.591  0.303
P  0.289  0.091  0.197
P  0.711  0.909  0.803
P  0.106  0.409  0.697

Calculated values
- Total DFT energy (no corrections): -3.5667 eV/atom
- Symmetry: Ibam (72)
- Formation energy: -0.554 eV per atom

---

VASP calculation (PBE-GGA) on crystalline KNaScAl2 at its relaxed geometry.

Cell: 5.282 5.045 5.282 Å, 90.00 90.00 90.00°
Fractional coordinates of all 5 atoms:
Sc  0.500  0.500  0.500
Na  0.000  0.000  0.000
K  0.000  0.500  0.000
Al  0.000  0.000  0.500
Al  0.500  0.000  0.000

Calculated values
- Total DFT energy (no corrections): -2.4059 eV/atom
- Symmetry: P4/mmm (123)
- Formation energy: 0.841 eV per atom

---

VASP calculation (PBE-GGA) on crystalline K2Na4AlSn2 at its relaxed geometry.

Cell: 5.655 8.283 8.283 Å, 55.76 74.67 74.67°
Fractional coordinates of all 9 atoms:
K  0.332  0.637  0.637
K  0.668  0.363  0.363
Na  0.161  0.657  0.080
Na  0.839  0.920  0.343
Na  0.839  0.343  0.920
Na  0.161  0.080  0.657
Al  0.500  0.000  0.000
Sn  0.292  0.185  0.185
Sn  0.708  0.815  0.815

Calculated values
- Total DFT energy (no corrections): -2.2045 eV/atom
- Symmetry: C2/m (12)
- Formation energy: -0.069 eV per atom

---

VASP calculation (PBE-GGA) on crystalline KNaSr2Al at its relaxed geometry.

Cell: 6.834 5.784 6.834 Å, 90.00 90.00 90.00°
Fractional coordinates of all 5 atoms:
Sr  0.000  0.000  0.500
Sr  0.500  0.000  0.000
K  0.000  0.000  0.000
Al  0.000  0.500  0.000
Na  0.500  0.500  0.500

Calculated values
- Total DFT energy (no corrections): -1.1538 eV/atom
- Symmetry: P4/mmm (123)
- Formation energy: 0.751 eV per atom